# Cu2NiIrO6

Cu2NiIrO6 after structural relaxation (PBE+U, the Alexandria database).

POSCAR file:
```
Cu2NiIrO6
1.0
2.5543 1.4748 4.5687
-2.5543 1.4748 4.5687
0.0000 -2.9495 4.5687
Cu Ni Ir O
2 1 1 6
Cartesian
0.0000 0.0000 0.0000
0.0000 0.0000 6.7276
0.0000 0.0000 3.9803
0.0000 0.0000 10.9541
-1.5919 -0.0536 5.4278
-1.0222 -1.4492 7.6611
0.8424 -1.3518 5.4279
-0.7440 1.6098 7.6611
0.7495 1.4055 5.4279
1.7661 -0.1606 7.6611
```

Results
Electronic total energy (eV/atom): -5.580
D(E_F) (states/eV/f.u.): 6.6
Magnetization (μB per formula unit): 1.314